[1]
LaTmIr2 | Alexandria | GGA-PBE | relaxed; ΔE to the lowest computed polymorph = 0.027 eV/atom; spin magnetization = 0.00 Bohr magnetons per cell; E_form = -66 kJ/mol of atoms; calculated volume = 340.9 Å³ per cell
1.0
6.985 0.000 0.000
0.000 6.985 0.000
0.000 0.000 6.985
La Tm Ir
4 4 8
direct
0.000 0.000 0.000
0.000 0.500 0.500
0.500 0.000 0.500
0.500 0.500 0.000
0.000 0.000 0.500
0.000 0.500 0.000
0.500 0.000 0.000
0.500 0.500 0.500
0.250 0.250 0.250
0.250 0.250 0.750
0.250 0.750 0.250
0.250 0.750 0.750
0.750 0.250 0.250
0.750 0.250 0.750
0.750 0.750 0.250
0.750 0.750 0.750

---

[2]
BaOsW2 | Alexandria | GGA-PBE | relaxed; ΔE to the lowest computed polymorph = 0.674 eV/atom; spin magnetization = 0.00 Bohr magnetons per cell; E_form = 142 kJ/mol of atoms; calculated volume = 307.6 Å³ per cell
1.0
6.750 0.000 0.000
0.000 6.750 0.000
0.000 0.000 6.750
Ba Os W
4 4 8
direct
0.000 0.000 0.000
0.000 0.500 0.500
0.500 0.000 0.500
0.500 0.500 0.000
0.250 0.250 0.250
0.250 0.750 0.750
0.750 0.250 0.750
0.750 0.750 0.250
0.000 0.000 0.500
0.000 0.500 0.000
0.250 0.250 0.750
0.250 0.750 0.250
0.500 0.000 0.000
0.500 0.500 0.500
0.750 0.250 0.250
0.750 0.750 0.750

---

[3]
K3DyTa2O9 | Alexandria | GGA-PBE | relaxed; spin magnetization = 2.00 Bohr magnetons per cell; uncorrected formation energy = -237 kJ/mol of atoms; calculated volume = 221.0 Å³ per cell
1.0
5.918 0.000 0.000
-2.959 5.125 0.000
0.000 0.000 7.285
K Dy Ta O
3 1 2 9
direct
0.000 0.000 0.000
0.333 0.667 0.668
0.667 0.333 0.332
0.000 0.000 0.500
0.333 0.667 0.165
0.667 0.333 0.835
0.000 0.500 0.000
0.176 0.353 0.314
0.176 0.824 0.314
0.353 0.176 0.686
0.500 0.000 0.000
0.500 0.500 0.000
0.647 0.824 0.314
0.824 0.176 0.686
0.824 0.647 0.686

---

[4]
MnHgS2 | Alexandria | GGA-PBE | relaxed; ΔE to the lowest computed polymorph = 0.110 eV/atom; spin magnetization = 0.67 Bohr magnetons per cell; uncorrected formation energy = -29 kJ/mol of atoms; calculated volume = 225.2 Å³ per cell
1.0
5.239 0.000 0.000
1.943 5.535 0.000
2.582 0.073 7.768
Mn Hg S
2 2 4
direct
0.000 0.000 0.000
0.496 0.000 0.009
0.745 0.000 0.506
0.747 0.500 0.503
0.243 0.794 0.162
0.257 0.207 0.847
0.598 0.206 0.160
0.893 0.794 0.849

---

[5]
Ac2TbNdSm | Alexandria | GGA-PBE | relaxed; spin magnetization = 0.00 Bohr magnetons per cell; E_form = 26 kJ/mol of atoms; calculated volume = 395.4 Å³ per cell
1.0
6.427 0.000 0.000
0.000 9.039 0.000
0.000 0.000 6.806
Ac Tb Nd Sm
4 2 2 2
direct
0.250 0.201 0.204
0.250 0.799 0.204
0.750 0.201 0.796
0.750 0.799 0.796
0.250 0.000 0.670
0.750 0.000 0.330
0.250 0.500 0.920
0.750 0.500 0.080
0.000 0.500 0.500
0.500 0.500 0.500

---

[6]
Zr2TiSnB | Alexandria | GGA-PBE | relaxed; spin magnetization = 0.00 Bohr magnetons per cell; E_form = -46 kJ/mol of atoms; calculated volume = 94.2 Å³ per cell
1.0
4.647 0.000 0.000
0.000 4.647 0.000
0.000 0.000 4.362
Zr Ti Sn B
2 1 1 1
direct
0.000 0.500 0.000
0.500 0.000 0.000
0.000 0.000 0.500
0.500 0.500 0.500
0.000 0.000 0.000

---

[7]
PuCd6Hg12 | Alexandria | GGA-PBE | relaxed; ΔE to the lowest computed polymorph = 0.015 eV/atom; spin magnetization = 6.01 Bohr magnetons per cell; E_form = 1 kJ/mol of atoms; calculated volume = 527.3 Å³ per cell
1.0
5.435 3.138 5.153
-5.435 3.138 5.153
0.000 -6.276 5.153
Pu Cd Hg
1 6 12
direct
0.000 0.000 0.000
0.100 0.231 0.663
0.231 0.663 0.100
0.337 0.900 0.769
0.663 0.100 0.231
0.769 0.337 0.900
0.900 0.769 0.337
0.004 0.829 0.660
0.171 0.340 0.996
0.214 0.546 0.476
0.340 0.996 0.171
0.454 0.524 0.786
0.476 0.214 0.546
0.524 0.786 0.454
0.546 0.476 0.214
0.660 0.004 0.829
0.786 0.454 0.524
0.829 0.660 0.004
0.996 0.171 0.340

---

[8]
Cs7K6Na | Alexandria | GGA-PBE | relaxed; spin magnetization = 0.00 Bohr magnetons per cell; E_form = 2 kJ/mol of atoms; calculated volume = 1252.0 Å³ per cell
1.0
6.655 3.842 8.162
-6.655 3.842 8.162
0.000 -7.684 8.162
Cs K Na
7 6 1
direct
0.000 0.000 0.000
0.151 0.580 0.312
0.225 0.387 0.912
0.312 0.151 0.580
0.387 0.912 0.225
0.580 0.312 0.151
0.912 0.225 0.387
0.070 0.788 0.653
0.447 0.727 0.833
0.653 0.070 0.788
0.727 0.833 0.447
0.788 0.653 0.070
0.833 0.447 0.727
0.520 0.520 0.520

---

Total energy, record by record: -7.46 -8.30 -7.54 -4.73 -4.19 -7.61 -1.22 -0.97 eV per atom